Entry 1:
A relaxed DyCuOs crystal. Source: the Open Quantum Materials Database, functional PBE.

```
3
Lattice="0.000 3.186 3.186 3.186 0.000 3.186 3.186 3.186 0.000" Properties=species:S:1:pos:R:3 pbc="T T T"
Cu 3.186 3.186 3.186
Dy 1.593 1.593 1.593
Os 0.000 0.000 0.000
```

Summary:
The total magnetic moment comes out at 0.01 μB per atom. Its space-group type is F-43m, No. 216. As for the energy of formation: 296 kJ/mol of formula units. The calculation puts the energy above the most stable polymorph in this dataset at 0.460 eV per atom. Its energy is -5.49 eV/atom. The calculated volume is 21.55 A^3/atom.



Entry 2:
A relaxed DyCu8P2 crystal. Source: the Open Quantum Materials Database, functional PBE.

```
11
Lattice="-3.626 0.305 4.542 -1.849 -3.053 4.596 7.663 4.051 -0.266" Properties=species:S:1:pos:R:3 pbc="T T T"
Cu 0.461 0.363 7.249
Cu 1.726 0.940 1.623
Cu 2.645 1.505 6.473
Cu 2.184 1.221 4.034
Cu 0.004 0.081 4.838
Cu -0.457 -0.203 2.400
Cu -1.783 -0.819 7.613
Cu 3.970 2.122 1.259
P 5.882 3.119 0.415
P -3.694 -1.816 8.457
Dy -2.738 -1.374 4.569
```

Summary:
The total magnetic moment comes out at 0.00 μB per atom. Its space-group type is C2/m, No. 12. Its energy is -4.38 eV/atom. The calculated volume is 13.40 A^3/atom.



Entry 3:
A relaxed PrDyCu2P4 crystal. Source: the Open Quantum Materials Database, functional PBE.

```
8
Lattice="-3.493 0.112 -1.406 0.683 -3.151 -1.948 -3.245 -5.421 7.632" Properties=species:S:1:pos:R:3 pbc="T T T"
Pr -2.156 -2.774 0.088
P -4.963 -5.317 6.862
P -3.534 -5.076 3.329
P -2.875 -6.949 6.591
P -1.155 -1.929 2.716
Cu -1.294 -4.308 2.872
Cu -3.382 -2.676 3.143
Dy -2.487 -4.154 5.848
```

Summary:
The total magnetic moment comes out at 0.00 μB per atom. Its space-group type is P4mm, No. 99. Its energy is -5.66 eV/atom. The calculated volume is 17.58 A^3/atom.



Entry 4:
A relaxed DyCuSbP crystal. Source: the Open Quantum Materials Database, functional PBE.

```
8
Lattice="4.046 0.000 0.000 0.000 4.046 0.000 0.000 0.000 9.718" Properties=species:S:1:pos:R:3 pbc="T T T"
Dy 0.000 2.023 7.411
Dy 2.023 0.000 2.307
Sb 0.000 0.000 4.859
Sb 2.023 2.023 4.859
Cu 0.000 0.000 0.000
Cu 2.023 2.023 0.000
P 0.000 2.023 1.425
P 2.023 0.000 8.293
```

Summary:
The total magnetic moment comes out at 0.00 μB per atom. Its space-group type is P4/nmm, No. 129. The calculation puts the energy above the most stable polymorph in this dataset at 0.000 eV per atom. Its energy is -5.17 eV/atom. The calculated volume is 19.88 A^3/atom.



Entry 5:
A relaxed DyCuSbP crystal. Source: the Open Quantum Materials Database, functional PBE.

```
8
Lattice="3.966 0.000 0.000 0.000 3.966 0.000 0.000 0.000 10.300" Properties=species:S:1:pos:R:3 pbc="T T T"
Dy 0.000 1.983 7.252
Dy 1.983 0.000 3.048
P 0.000 0.000 5.150
P 1.983 1.983 5.150
Sb 1.983 0.000 8.570
Sb 0.000 1.983 1.730
Cu 1.983 1.983 0.000
Cu 0.000 0.000 0.000
```

Summary:
The total magnetic moment comes out at 0.00 μB per atom. Its space-group type is P4/nmm, No. 129. The calculation puts the energy above the most stable polymorph in this dataset at 0.105 eV per atom. Its energy is -5.07 eV/atom. The calculated volume is 20.25 A^3/atom.



Entry 6:
A relaxed SmDyCu2P4 crystal. Source: the Open Quantum Materials Database, functional PBE.

```
8
Lattice="-0.695 -3.658 0.446 1.272 -0.664 -3.464 9.062 -1.285 3.573" Properties=species:S:1:pos:R:3 pbc="T T T"
Cu 5.196 -0.979 0.066
Cu 4.212 -2.476 2.021
P 9.648 -1.610 1.822
P 8.665 -3.107 3.777
P 6.236 -3.005 0.836
P 3.181 -0.451 1.254
Sm 2.379 -2.457 -0.685
Dy 6.945 -0.985 2.739
```

Summary:
The total magnetic moment comes out at 0.00 μB per atom. Its space-group type is P4mm, No. 99. Its energy is -5.67 eV/atom. The calculated volume is 17.27 A^3/atom.



The highest energy belongs to which entry?
DyCu8P2